{
  "formula": "Ba2TlFe2O7",
  "functional": "PBE with a Hubbard U",
  "state": "relaxed",
  "cell": [[-2.5645, 1.6652, -2.1877], [0.1138, -2.9248, -2.3596], [-9.7427, -5.9433, 6.8970]],
  "species": ["Ba", "Ba", "Tl", "Fe", "Fe", "O", "O", "O", "O", "O", "O", "O"],
  "frac_coords": [[0.5000, 0.5000, 0.7100], [0.5000, 0.5000, 0.2900], [0.0000, 0.0000, 0.5000], [0.0000, 0.0000, 0.8958], [0.0000, 0.0000, 0.1042], [0.5000, 0.5000, 0.5000], [0.0000, 0.5000, 0.8724], [0.5000, 0.0000, 0.8724], [0.0000, 0.5000, 0.1276], [0.5000, 0.0000, 0.1276], [0.0000, 0.0000, 0.6564], [0.0000, 0.0000, 0.3436]],
  "rho_g_cm3": 6.19,
  "m_tot_mub_per_cell": 8.76,
  "total_energy_ev_per_cell": -69.016
}